1.
Below is a relaxed structure of La2Dy5Y, with properties calculated at the PBE-GGA level.

```
La2Dy5Y
1.0
-3.1574 -3.4651 2.0118
3.7117 0.1920 6.1561
-8.5146 10.5480 4.8048
Dy Y La
10 2 4
direct
0.5000 0.7517 0.1254 Dy
0.0000 0.4989 0.7496 Dy
0.5000 0.7483 0.6254 Dy
0.0000 0.9989 0.7504 Dy
0.5000 0.2483 0.8746 Dy
0.5000 0.2517 0.3746 Dy
0.0000 0.0000 0.0000 Dy
0.0000 0.0011 0.2496 Dy
0.0000 0.5011 0.2504 Dy
0.0000 0.5000 0.5000 Dy
0.0000 0.0000 0.5000 Y
0.0000 0.5000 0.0000 Y
0.5000 0.2502 0.6256 La
0.5000 0.2498 0.1256 La
0.5000 0.7502 0.8744 La
0.5000 0.7498 0.3744 La
```

total moment = 0.0 μB per formula unit
E_form = 0.03 eV per atom
space-group type = Pbam, No. 55

---

2.
Below is a relaxed structure of La3Dy3Y8, with properties calculated at the PBE-GGA level.

```
La3Dy3Y8
1.0
5.6256 0.0007 1.1316
2.7820 9.3736 0.7137
1.0813 -3.2769 9.1759
Dy Y La
3 8 3
direct
0.2015 0.7981 0.7980 Dy
0.7985 0.2019 0.2020 Dy
0.5000 0.5000 0.5000 Dy
0.6615 0.5567 0.1205 Y
0.8403 0.7611 0.5581 Y
0.3384 0.8796 0.4433 Y
0.6616 0.1204 0.5567 Y
0.1597 0.2389 0.4419 Y
0.3385 0.4433 0.8795 Y
0.1597 0.4419 0.2389 Y
0.8403 0.5581 0.7611 Y
0.0000 0.8158 0.1842 La
0.0000 0.1842 0.8158 La
0.5000 0.0000 0.0000 La
```

total moment = 0.0 μB per formula unit
E_form = 0.11 eV per atom
space-group type = Immm, No. 71

---

3.
Below is a relaxed structure of La10Dy4Y, with properties calculated at the PBE-GGA level.

```
La10Dy4Y
1.0
9.8690 0.0000 4.4563
4.9345 7.1418 2.2281
1.9954 0.0000 8.7371
La Dy Y
10 4 1
direct
0.5945 0.1227 0.3552 La
0.9277 0.1227 0.3552 La
0.0504 0.3552 0.8773 La
0.7500 0.5000 0.5000 La
0.0723 0.8773 0.6448 La
0.7172 0.3552 0.8773 La
0.2828 0.6448 0.1227 La
0.9496 0.6448 0.1227 La
0.2500 0.5000 0.5000 La
0.4055 0.8773 0.6448 La
0.5580 0.6725 0.2116 Dy
0.4420 0.3275 0.7884 Dy
0.7695 0.7884 0.6725 Dy
0.2305 0.2116 0.3275 Dy
0.0000 0.0000 0.0000 Y
```

total moment = 0.0 μB per formula unit
E_form = 0.38 eV per atom
space-group type = I4/m, No. 87

---

4.
Below is a relaxed structure of La6DyY12, with properties calculated at the PBE-GGA level.

```
La6DyY12
1.0
8.7790 -0.1953 -1.2412
-1.4017 8.6685 -1.2412
-0.1701 -0.1953 8.8646
Y Dy La
12 1 6
direct
0.7554 0.5000 0.2446 Y
0.6474 0.6474 0.9202 Y
0.2446 0.7554 0.5000 Y
0.7554 0.2446 0.5000 Y
0.3526 0.3526 0.0798 Y
0.0798 0.3526 0.3526 Y
0.9202 0.6474 0.6474 Y
0.2446 0.5000 0.7554 Y
0.3526 0.0798 0.3526 Y
0.5000 0.2446 0.7554 Y
0.6474 0.9202 0.6474 Y
0.5000 0.7554 0.2446 Y
0.0000 0.0000 0.0000 Dy
0.0951 0.6562 0.0951 La
0.9049 0.3438 0.9049 La
0.9049 0.9049 0.3438 La
0.3438 0.9049 0.9049 La
0.0951 0.0951 0.6562 La
0.6562 0.0951 0.0951 La
```

total moment = 0.0 μB per formula unit
E_form = 0.21 eV per atom
space-group type = R-3m, No. 166

---

5.
Below is a relaxed structure of La7Dy3Y, with properties calculated at the PBE-GGA level.

```
La7Dy3Y
1.0
-4.7175 -3.8265 -3.1088
4.0683 -5.0204 1.5014
-4.3502 -3.1941 7.0941
La Dy Y
7 3 1
direct
0.7325 0.9832 0.5855 La
0.7124 0.5536 0.8543 La
0.2262 0.7046 0.7941 La
0.0000 0.5000 0.5000 La
0.7738 0.2954 0.2059 La
0.2876 0.4464 0.1457 La
0.2675 0.0168 0.4145 La
0.5000 0.0000 0.0000 Dy
0.0727 0.1777 0.8316 Dy
0.9273 0.8223 0.1684 Dy
0.5000 0.5000 0.5000 Y
```

total moment = 0.0 μB per formula unit
E_form = 0.13 eV per atom
space-group type = P-1, No. 2

---

6.
Below is a relaxed structure of LaDy6Y, with properties calculated at the PBE-GGA level.

```
LaDy6Y
1.0
-1.6600 0.6046 4.7392
4.5308 -1.3925 1.7647
3.0279 9.6377 -0.1690
Dy Y La
6 1 1
direct
0.5000 0.5000 0.0000 Dy
0.5000 0.0000 0.2532 Dy
0.5000 0.5000 0.5000 Dy
0.0000 0.5000 0.7468 Dy
0.0000 0.5000 0.2532 Dy
0.5000 0.0000 0.7468 Dy
0.0000 0.0000 0.5000 Y
0.0000 0.0000 0.0000 La
```

total moment = 0.0 μB per formula unit
E_form = 0.03 eV per atom
space-group type = P4/mmm, No. 123

---

7.
Below is a relaxed structure of La2Dy4Y3, with properties calculated at the PBE-GGA level.

```
La2Dy4Y3
1.0
-4.0098 3.0268 -0.8936
-1.2870 -3.7686 -6.9900
-1.9339 -5.1213 5.9000
La Y Dy
2 3 4
direct
0.6658 0.0010 0.3316 La
0.3342 0.9990 0.6684 La
0.0000 0.0000 0.0000 Y
0.1100 0.6632 0.2200 Y
0.8900 0.3368 0.7800 Y
0.4432 0.6616 0.8865 Dy
0.7777 0.6620 0.5555 Dy
0.5568 0.3384 0.1135 Dy
0.2223 0.3380 0.4445 Dy
```

total moment = 0.0 μB per formula unit
E_form = 0.03 eV per atom
space-group type = C2/m, No. 12

---

8.
Below is a relaxed structure of La6Dy2Y, with properties calculated at the PBE-GGA level.

```
La6Dy2Y
1.0
3.6626 0.0000 0.0000
-1.8313 3.1719 0.0000
0.0000 0.0000 27.6305
Dy Y La
2 1 6
direct
0.6667 0.3333 0.6700 Dy
0.6667 0.3333 0.3300 Dy
0.3333 0.6667 0.0000 Y
0.3333 0.6667 0.4341 La
0.6667 0.3333 0.8930 La
0.6667 0.3333 0.1070 La
0.3333 0.6667 0.5659 La
0.3333 0.6667 0.7767 La
0.3333 0.6667 0.2233 La
```

total moment = 0.0 μB per formula unit
E_form = 0.06 eV per atom
space-group type = P-6m2, No. 187

---

9.
Below is a relaxed structure of LaDy3Y5, with properties calculated at the PBE-GGA level.

```
LaDy3Y5
1.0
3.0420 9.6052 0.1766
-3.0420 9.6052 0.1766
0.0000 4.1160 10.4579
Y La Dy
10 2 6
direct
0.3908 0.6092 0.7500 Y
0.9047 0.4317 0.9704 Y
0.5683 0.0953 0.5296 Y
0.0903 0.5814 0.6962 Y
0.6092 0.3908 0.2500 Y
0.4317 0.9047 0.4704 Y
0.5814 0.0903 0.1962 Y
0.0953 0.5683 0.0296 Y
0.9097 0.4186 0.3038 Y
0.4186 0.9097 0.8038 Y
0.1265 0.8735 0.2500 La
0.8735 0.1265 0.7500 La
0.9488 0.4051 0.6349 Dy
0.0000 0.0000 0.5000 Dy
0.0000 0.0000 0.0000 Dy
0.0512 0.5949 0.3651 Dy
0.4051 0.9488 0.1349 Dy
0.5949 0.0512 0.8651 Dy
```

total moment = 0.0 μB per formula unit
E_form = 0.32 eV per atom
space-group type = C2/c, No. 15

---

10.
Below is a relaxed structure of La5Dy3Y2, with properties calculated at the PBE-GGA level.

```
La5Dy3Y2
1.0
9.6720 -2.2267 -2.6593
-3.4553 9.2288 -2.9017
-0.6881 -0.5929 9.1479
La Dy Y
10 6 4
direct
0.9821 0.7321 0.4641 La
0.0179 0.2679 0.5359 La
0.3807 0.1271 0.7593 La
0.8786 0.6322 0.7593 La
0.6193 0.8729 0.2407 La
0.7721 0.5221 0.0441 La
0.4766 0.2266 0.4531 La
0.5234 0.7734 0.5469 La
0.2279 0.4779 0.9559 La
0.1214 0.3678 0.2407 La
0.7793 0.2199 0.7519 Dy
0.7315 0.9815 0.9630 Dy
0.2685 0.0185 0.0370 Dy
0.2207 0.7801 0.2481 Dy
0.5274 0.4680 0.2481 Dy
0.4726 0.5320 0.7519 Dy
0.9730 0.0348 0.7591 Y
0.7138 0.2757 0.2409 Y
0.2862 0.7243 0.7591 Y
0.0270 0.9652 0.2409 Y
```

total moment = 0.0 μB per formula unit
E_form = 0.16 eV per atom
space-group type = C2/c, No. 15

---

11.
Below is a relaxed structure of La5Dy4Y4, with properties calculated at the PBE-GGA level.

```
La5Dy4Y4
1.0
4.9759 0.0000 1.2651
2.4880 9.2674 0.6326
0.2044 0.0000 9.6142
Y La Dy
4 5 4
direct
0.9237 0.4624 0.6902 Y
0.0763 0.5376 0.3098 Y
0.6139 0.3098 0.4624 Y
0.3861 0.6902 0.5376 Y
0.4603 0.2325 0.8468 La
0.6928 0.8468 0.7675 La
0.3072 0.1532 0.2325 La
0.0000 0.0000 0.0000 La
0.5397 0.7675 0.1532 La
0.1553 0.0785 0.6110 Dy
0.8447 0.9215 0.3890 Dy
0.2338 0.6110 0.9215 Dy
0.7662 0.3890 0.0785 Dy
```

total moment = 0.0 μB per formula unit
E_form = 0.03 eV per atom
space-group type = I4/m, No. 87

---

12.
Below is a relaxed structure of La2DyY6, with properties calculated at the PBE-GGA level.

```
La2DyY6
1.0
6.6275 0.1123 2.2516
2.1662 9.4817 4.0273
0.1542 2.0760 10.3189
Y La Dy
12 4 2
direct
0.3345 0.3309 0.0008 Y
0.5008 0.6688 0.3295 Y
0.6655 0.6691 0.9992 Y
0.0008 0.3295 0.6688 Y
0.8345 0.0008 0.3309 Y
0.8361 0.3293 0.9991 Y
0.3361 0.9991 0.3293 Y
0.6639 0.0009 0.6707 Y
0.1639 0.6707 0.0009 Y
0.1655 0.9992 0.6691 Y
0.9992 0.6705 0.3312 Y
0.4992 0.3312 0.6705 Y
0.0833 0.6666 0.6669 La
0.5833 0.6669 0.6666 La
0.4167 0.3331 0.3334 La
0.9167 0.3334 0.3331 La
0.7500 0.9999 0.0001 Dy
0.2500 0.0001 0.9999 Dy
```

total moment = 0.0 μB per formula unit
E_form = 0.07 eV per atom
space-group type = Ibam, No. 72

---

13.
Below is a relaxed structure of La2DyY, with properties calculated at the PBE-GGA level.

```
La2DyY
1.0
3.5430 0.0000 0.0000
1.7715 3.0684 0.0000
1.7715 1.0228 12.6830
La Dy Y
2 1 1
direct
0.0877 0.0877 0.7368 La
0.9123 0.9123 0.2632 La
0.5000 0.5000 0.5000 Dy
0.0000 0.0000 0.0000 Y
```

total moment = 0.0 μB per formula unit
E_form = 0.17 eV per atom
space-group type = R-3m, No. 166

---

14.
Below is a relaxed structure of La2Dy7Y2, with properties calculated at the PBE-GGA level.

```
La2Dy7Y2
1.0
6.6839 -0.0016 -1.7895
0.0066 9.4648 0.0020
-2.2024 -0.0025 6.5594
La Dy Y
2 7 2
direct
0.7474 0.5000 0.7474 La
0.2526 0.5000 0.2526 La
0.4999 0.6837 0.0001 Dy
0.5000 0.1832 0.5000 Dy
0.5000 0.8168 0.5000 Dy
0.9999 0.6837 0.5001 Dy
0.0000 0.0000 0.0000 Dy
0.0001 0.3163 0.4999 Dy
0.5001 0.3163 0.9999 Dy
0.2756 0.0001 0.7244 Y
0.7244 0.9999 0.2756 Y
```

total moment = 0.0 μB per formula unit
E_form = 0.35 eV per atom
space-group type = Cmmm, No. 65

---

15.
Below is a relaxed structure of LaDy3Y7, with properties calculated at the PBE-GGA level.

```
LaDy3Y7
1.0
5.8326 -0.1709 -0.2188
-2.6563 7.9818 1.0138
-2.6563 -0.9515 7.9895
Y Dy La
7 3 1
direct
0.2039 0.2034 0.2034 Y
0.2931 0.9879 0.5985 Y
0.7961 0.7966 0.7966 Y
0.2931 0.5985 0.9879 Y
0.7069 0.4015 0.0121 Y
0.7069 0.0121 0.4015 Y
0.0000 0.5000 0.5000 Y
0.5000 0.0000 0.0000 Dy
0.0000 0.7932 0.2068 Dy
0.0000 0.2068 0.7932 Dy
0.5000 0.5000 0.5000 La
```

total moment = 0.0 μB per formula unit
E_form = 0.25 eV per atom
space-group type = Immm, No. 71

---

16.
Below is a relaxed structure of La3Dy8Y2, with properties calculated at the PBE-GGA level.

```
La3Dy8Y2
1.0
5.0205 0.7224 0.3294
-1.2344 6.4200 4.7063
-3.2941 -0.6940 12.5310
Dy Y La
8 2 3
direct
0.0792 0.4547 0.1584 Dy
0.8433 0.0809 0.6869 Dy
0.1567 0.9191 0.3131 Dy
0.3823 0.3159 0.7648 Dy
0.6177 0.6841 0.2352 Dy
0.9208 0.5453 0.8416 Dy
0.3065 0.8464 0.6133 Dy
0.6935 0.1536 0.3867 Dy
0.2315 0.3830 0.4629 Y
0.7685 0.6170 0.5371 Y
0.4607 0.7733 0.9216 La
0.5393 0.2267 0.0784 La
0.0000 0.0000 0.0000 La
```

total moment = 0.0 μB per formula unit
E_form = 0.03 eV per atom
space-group type = C2/m, No. 12

---

17.
Below is a relaxed structure of La2Dy2Y7, with properties calculated at the PBE-GGA level.

```
La2Dy2Y7
1.0
5.6278 2.1856 0.7961
0.9470 8.6333 -0.9290
2.4186 1.4975 8.2584
Y Dy La
7 2 2
direct
0.1731 0.5906 0.0637 Y
0.0000 0.0000 0.0000 Y
0.3774 0.4067 0.4067 Y
0.8269 0.9363 0.4094 Y
0.1731 0.0637 0.5906 Y
0.6226 0.5933 0.5933 Y
0.8269 0.4094 0.9363 Y
0.8877 0.7637 0.7637 Dy
0.1123 0.2363 0.2363 Dy
0.5000 0.2112 0.7888 La
0.5000 0.7888 0.2112 La
```

total moment = 0.0 μB per formula unit
E_form = 0.16 eV per atom
space-group type = C2/m, No. 12

---

18.
Below is a relaxed structure of La5DyY, with properties calculated at the PBE-GGA level.

```
La5DyY
1.0
-4.5197 4.9562 1.5510
-4.2272 -0.8340 5.3695
2.8781 7.6116 11.3214
La Dy Y
10 2 2
direct
0.1517 0.4097 0.7338 La
0.3545 0.2996 0.4962 La
0.8483 0.5903 0.2662 La
0.7004 0.6455 0.0038 La
0.5903 0.8483 0.7662 La
0.7001 0.2999 0.7500 La
0.4097 0.1517 0.2338 La
0.2999 0.7001 0.2500 La
0.6455 0.7004 0.5038 La
0.2996 0.3545 0.9962 La
0.0000 0.0000 0.5000 Dy
0.0000 0.0000 0.0000 Dy
0.8512 0.1488 0.2500 Y
0.1488 0.8512 0.7500 Y
```

total moment = 0.0 μB per formula unit
E_form = 0.14 eV per atom
space-group type = C2/c, No. 15

---

19.
Below is a relaxed structure of La2Dy3Y, with properties calculated at the PBE-GGA level.

```
La2Dy3Y
1.0
5.6411 0.0000 0.0000
-2.8206 8.5215 -1.2410
0.0000 -4.6001 9.1295
Dy La Y
6 4 2
direct
0.3886 0.7773 0.3474 Dy
0.7053 0.4106 0.4228 Dy
0.6113 0.2227 0.6526 Dy
0.2947 0.5894 0.5772 Dy
0.9490 0.8980 0.6009 Dy
0.0510 0.1020 0.3991 Dy
0.5105 0.0210 0.8645 La
0.2260 0.4520 0.8668 La
0.7740 0.5480 0.1332 La
0.4895 0.9790 0.1355 La
0.8642 0.7284 0.8542 Y
0.1358 0.2716 0.1458 Y
```

total moment = 0.0 μB per formula unit
E_form = 0.09 eV per atom
space-group type = C2/m, No. 12

---

20.
Below is a relaxed structure of La7Dy2Y, with properties calculated at the PBE-GGA level.

```
La7Dy2Y
1.0
3.5501 0.0000 0.0000
0.0000 10.1390 -2.7822
0.0000 -0.6803 10.4918
Dy La Y
2 7 1
direct
0.5000 0.8343 0.1657 Dy
0.5000 0.1657 0.8343 Dy
0.5000 0.3845 0.1253 La
0.0000 0.3198 0.6802 La
0.5000 0.8747 0.6155 La
0.5000 0.6155 0.8747 La
0.5000 0.1253 0.3845 La
0.5000 0.5000 0.5000 La
0.0000 0.6802 0.3198 La
0.0000 0.0000 0.0000 Y
```

total moment = 0.0 μB per formula unit
E_form = 0.33 eV per atom
space-group type = Cmmm, No. 65